A plane-wave DFT calculation with PBE+U was carried out for a relaxed Al9Fe2Si4O24 crystal.

Values from the calculation:
Crystal system: monoclinic
Symmetry: C2/m
Total energy, eV/atom: -7.50
Density, g/cm3: 3.7

Cell: 9.258 9.258 5.700 Å, 90.28 90.28 129.36°
Positions (direct):
Al1 0.000 0.000 0.000
Al2 0.150 0.324 0.736
Al3 0.324 0.150 0.736
Al4 0.324 0.676 0.500
Al5 0.325 0.675 0.000
Al6 0.675 0.325 0.000
Al7 0.676 0.324 0.500
Al8 0.676 0.850 0.264
Al9 0.850 0.676 0.264
Fe1 0.381 0.381 0.256
Fe2 0.619 0.619 0.744
Si1 0.031 0.701 0.758
Si2 0.299 0.969 0.242
Si3 0.701 0.031 0.758
Si4 0.969 0.299 0.242
O1 0.089 0.911 0.231
O2 0.089 0.911 0.769
O3 0.094 0.415 0.480
O4 0.096 0.419 0.012
O5 0.226 0.727 0.750
O6 0.230 0.230 0.968
O7 0.256 0.256 0.537
O8 0.273 0.774 0.250
O9 0.377 0.576 0.752
O10 0.415 0.094 0.480
O11 0.419 0.096 0.012
O12 0.424 0.623 0.248
O13 0.576 0.377 0.752
O14 0.581 0.904 0.988
O15 0.585 0.906 0.520
O16 0.623 0.424 0.248
O17 0.727 0.226 0.750
O18 0.744 0.744 0.463
O19 0.770 0.770 0.032
O20 0.774 0.273 0.250
O21 0.904 0.581 0.988
O22 0.906 0.585 0.520
O23 0.911 0.089 0.231
O24 0.911 0.089 0.769